Computed, not measured: crystalline NaAlGa at its relaxed geometry at the PBE-GGA level of DFT.

Calculated values
**Total magnetization**: 0.0 μB per formula unit
**VASP energy**: -2.695 eV/atom
**DOS(E_F)**: 0.311 states/eV/atom
**Energy of formation from the pure elements**: 0.001 eV per atom

```
data_NaAlGa
_symmetry_space_group_name_H-M 'P -6 m 2'
_symmetry_Int_Tables_number 187
_symmetry_space_group_name_Hall 'P -6 2'
_cell_length_a 4.5484
_cell_length_b 4.5484
_cell_length_c 3.5489
_cell_angle_alpha 90.00
_cell_angle_beta 90.00
_cell_angle_gamma 120.00
loop_
_atom_site_label
_atom_site_fract_x
_atom_site_fract_y
_atom_site_fract_z
Na1 0.0000 0.0000 0.0000
Al1 0.3333 0.6667 0.5000
Ga1 0.6667 0.3333 0.5000
```